1.
Below is a relaxed Hg4SbPBr2 crystal, with properties calculated at the PBE-GGA level.

Cell and atoms, written as POSCAR:
```
Hg4SbPBr2
1.0
5.774 -6.764 0.000
5.774 6.764 0.000
-5.700 0.000 5.787
Hg Sb P Br
8 2 2 4
Direct
0.197 0.295 0.496
0.223 0.777 0.526
0.223 0.777 0.974
0.295 0.197 0.996
0.705 0.803 0.004
0.777 0.223 0.026
0.777 0.223 0.474
0.803 0.705 0.504
0.000 0.000 0.000
0.000 0.000 0.500
0.000 0.500 0.500
0.500 0.000 0.000
0.000 0.500 0.000
0.500 0.000 0.500
0.500 0.500 0.000
0.500 0.500 0.500
```

## Properties
Density of states at the Fermi level: 0.3708 states/eV per atom
ΔE_f (raw): 19 meV/atom
Spin magnetization: 0.000 μB per atom



2.
Below is a relaxed HgPSeBr2 crystal, with properties calculated at the PBE-GGA level.

Cell and atoms, written as POSCAR:
```
HgPSeBr2
1.0
5.419 0.000 0.000
0.000 5.419 0.000
0.000 0.000 5.532
Hg P Se Br
1 1 1 2
Direct
0.000 0.000 0.000
0.500 0.500 0.500
0.000 0.000 0.500
0.000 0.500 0.000
0.500 0.000 0.000
```

## Properties
Density of states at the Fermi level: 0.6544 states/eV per atom
ΔE_f (raw): 779 meV/atom
Spin magnetization: 0.238 μB per atom
Energy above the lowest structure with this stoichiometry: 0.614 eV per atom



3.
Below is a relaxed HgPSeBr2 crystal, with properties calculated at the PBE-GGA level.

Cell and atoms, written as POSCAR:
```
HgPSeBr2
1.0
5.097 0.000 0.000
0.000 5.097 0.000
0.000 0.000 5.065
Hg P Se Br
1 1 1 2
Direct
0.000 0.000 0.000
0.500 0.500 0.500
0.500 0.500 0.000
0.000 0.500 0.500
0.500 0.000 0.500
```

## Properties
Density of states at the Fermi level: 0.5894 states/eV per atom
ΔE_f (raw): 165 meV/atom
Spin magnetization: 0.000 μB per atom
Energy above the lowest structure with this stoichiometry: 0.000 eV per atom



4.
Below is a relaxed Hg4PSe2Br crystal, with properties calculated at the PBE-GGA level.

Cell and atoms, written as POSCAR:
```
Hg4PSe2Br
1.0
-4.057 4.111 5.889
4.057 -4.111 5.889
4.057 4.111 -5.889
Hg P Se Br
8 2 4 2
Direct
0.254 0.242 0.012
0.264 0.248 0.483
0.264 0.781 0.017
0.270 0.758 0.512
0.730 0.242 0.488
0.736 0.219 0.983
0.736 0.752 0.517
0.746 0.758 0.988
0.500 0.000 0.000
0.500 0.500 0.500
0.000 0.000 0.000
0.000 0.000 0.500
0.000 0.500 0.000
0.500 0.000 0.500
0.000 0.500 0.500
0.500 0.500 0.000
```

## Properties
Density of states at the Fermi level: 0.3697 states/eV per atom
ΔE_f (raw): 41 meV/atom
Spin magnetization: 0.000 μB per atom



5.
Below is a relaxed HgPSe2Br crystal, with properties calculated at the PBE-GGA level.

Cell and atoms, written as POSCAR:
```
HgPSe2Br
1.0
5.321 0.000 0.000
0.000 5.321 0.000
0.000 0.000 5.373
Hg P Se Br
1 1 2 1
Direct
0.000 0.000 0.000
0.500 0.500 0.500
0.000 0.500 0.000
0.500 0.000 0.000
0.000 0.000 0.500
```

## Properties
Density of states at the Fermi level: 0.8839 states/eV per atom
ΔE_f (raw): 996 meV/atom
Spin magnetization: 0.160 μB per atom
Energy above the lowest structure with this stoichiometry: 0.689 eV per atom



6.
Below is a relaxed HgPSe2Br crystal, with properties calculated at the PBE-GGA level.

Cell and atoms, written as POSCAR:
```
HgPSe2Br
1.0
4.956 0.000 0.000
0.000 4.956 0.000
0.000 0.000 5.043
Hg P Se Br
1 1 2 1
Direct
0.000 0.000 0.000
0.500 0.500 0.500
0.000 0.500 0.500
0.500 0.000 0.500
0.500 0.500 0.000
```

## Properties
Density of states at the Fermi level: 0.7333 states/eV per atom
ΔE_f (raw): 308 meV/atom
Spin magnetization: 0.000 μB per atom
Energy above the lowest structure with this stoichiometry: 0.000 eV per atom



7.
Below is a relaxed SnHg7P4Br6 crystal, with properties calculated at the PBE-GGA level.

Cell and atoms, written as POSCAR:
```
SnHg7P4Br6
1.0
12.778 0.000 0.000
0.000 12.778 0.000
0.000 0.000 12.778
Sn Hg P Br
4 28 16 24
Direct
0.242 0.258 0.742
0.258 0.742 0.242
0.742 0.242 0.258
0.758 0.758 0.758
0.001 0.751 0.931
0.040 0.040 0.040
0.069 0.501 0.749
0.078 0.323 0.101
0.101 0.078 0.323
0.177 0.899 0.578
0.249 0.431 0.499
0.251 0.569 0.999
0.323 0.101 0.078
0.399 0.922 0.823
0.422 0.677 0.601
0.431 0.499 0.249
0.460 0.960 0.540
0.499 0.249 0.431
0.501 0.749 0.069
0.540 0.460 0.960
0.569 0.999 0.251
0.578 0.177 0.899
0.601 0.422 0.677
0.677 0.601 0.422
0.749 0.069 0.501
0.751 0.931 0.001
0.823 0.399 0.922
0.899 0.578 0.177
0.922 0.823 0.399
0.931 0.001 0.751
0.960 0.540 0.460
0.999 0.251 0.569
0.031 0.969 0.469
0.069 0.569 0.931
0.070 0.430 0.570
0.149 0.149 0.149
0.351 0.851 0.649
0.430 0.570 0.070
0.431 0.431 0.431
0.469 0.031 0.969
0.531 0.531 0.531
0.569 0.931 0.069
0.570 0.070 0.430
0.649 0.351 0.851
0.851 0.649 0.351
0.930 0.930 0.930
0.931 0.069 0.569
0.969 0.469 0.031
0.015 0.765 0.685
0.055 0.799 0.191
0.185 0.485 0.235
0.191 0.055 0.799
0.201 0.691 0.445
0.235 0.185 0.485
0.265 0.815 0.985
0.299 0.309 0.945
0.309 0.945 0.299
0.315 0.515 0.735
0.445 0.201 0.691
0.485 0.235 0.185
0.515 0.735 0.315
0.555 0.701 0.809
0.685 0.015 0.765
0.691 0.445 0.201
0.701 0.809 0.555
0.735 0.315 0.515
0.765 0.685 0.015
0.799 0.191 0.055
0.809 0.555 0.701
0.815 0.985 0.265
0.945 0.299 0.309
0.985 0.265 0.815
```

## Properties
ΔE_f (raw): -322 meV/atom
Spin magnetization: 0.000 μB per atom



8.
Below is a relaxed SrHg2PBr crystal, with properties calculated at the PBE-GGA level.

Cell and atoms, written as POSCAR:
```
SrHg2PBr
1.0
6.583 0.000 0.000
0.000 6.583 0.000
0.000 0.000 5.743
Sr Hg P Br
1 2 1 1
Direct
0.000 0.000 0.000
0.000 0.500 0.000
0.500 0.000 0.000
0.500 0.500 0.500
0.000 0.000 0.500
```

## Properties
Density of states at the Fermi level: 0.6831 states/eV per atom
ΔE_f (raw): 135 meV/atom
Spin magnetization: 0.467 μB per atom



> What is the ΔE_f (raw) in the first record?

19 meV/atom



Repeat the sixth record exactly.
Below is a relaxed HgPSe2Br crystal, with properties calculated at the PBE-GGA level.

Cell and atoms, written as POSCAR:
```
HgPSe2Br
1.0
4.956 0.000 0.000
0.000 4.956 0.000
0.000 0.000 5.043
Hg P Se Br
1 1 2 1
Direct
0.000 0.000 0.000
0.500 0.500 0.500
0.000 0.500 0.500
0.500 0.000 0.500
0.500 0.500 0.000
```

## Properties
Density of states at the Fermi level: 0.7333 states/eV per atom
ΔE_f (raw): 308 meV/atom
Spin magnetization: 0.000 μB per atom
Energy above the lowest structure with this stoichiometry: 0.000 eV per atom



> The highest ΔE_f (raw) belongs to which entry?

number 5